A relaxed structure of Pr2Nd5Dy2. Source: Alexandria via LeMat-Bulk, functional GGA-PBE.

a b c (Å): 15.0950 12.0518 6.9109
angles (deg): 90.00 90.00 90.00
With the nearest neighbours (Å) after each atom.
Space group Ima2 (No. 46)
Asymmetric unit:
Pr 0.1260 0.0035 0.0000  4 Nd 3.40-3.64, 2 Dy 3.70-3.77, 2 Pr 3.74-3.81
Nd 0.0532 0.7496 0.3498  4 Nd 3.19-3.46, 1 Dy 3.36, 1 Pr 3.40
Nd 0.1430 0.2342 0.6808  4 Nd 3.19-3.48, 2 Pr 3.41-3.56, 1 Dy 3.51
Nd 0.2500 0.7409 0.6496  6 Nd 3.28-3.62, 1 Dy 3.47, 2 Pr 3.64
Dy 0.0000 0.0000 0.5288  4 Nd 3.36-3.71
Dy 0.2500 0.0076 0.4620  4 Nd 3.47-3.69, 2 Pr 3.70, 2 Dy 3.80

Properties
The formation energy from the elements is 1.772 eV/f.u.